1.
Co4NiSb: relaxed, GGA-PBE.

As for the volume: 307 Å³ per cell. The calculation puts the energy at -6.144 eV per atom. Its energy relative to the elements, uncorrected is 0.2440 eV/atom.

The space group is F-43m (No. 216) and the conventional cell measures 6.750, 6.750 and 6.750 Å, with angles of 90.00, 90.00 and 90.00 degrees. The distinct sites, in fractional coordinates, are Co at (0.124, 0.124, 0.124), Ni at (0.250, 0.250, 0.750) and Sb at (0.000, 0.000, 0.500).


2.
Co2Ni2Sb: relaxed, GGA-PBE.

As for the volume: 135 Å³ per cell. The calculation puts the energy at -5.754 eV per atom. Its energy relative to the elements, uncorrected is 0.2255 eV/atom. As for the relative energy among the computed polymorphs: 0 meV/atom.

The space group is P4/mbm (No. 127) and the conventional cell measures 6.336, 6.336 and 3.364 Å, with angles of 90.00, 90.00 and 90.00 degrees. The distinct sites, in fractional coordinates, are Co at (0.129, 0.371, 0.000), Ni at (0.154, 0.654, 0.500) and Sb at (0.000, 0.000, 0.000).


3.
Co3NiSb12: relaxed, GGA-PBE.

As for the volume: 1149 Å³ per cell. The calculation puts the energy at -4.959 eV per atom. Its energy relative to the elements, uncorrected is -0.1738 eV/atom.

The space group is R-3 (No. 148, hexagonal axes) and the conventional cell measures 12.9464, 12.9464 and 7.9146 Å, with angles of 90.00, 90.00 and 120.00 degrees. The distinct sites, in fractional coordinates, are Co at (0.0000, 0.5000, 0.0000), Ni at (0.0000, 0.0000, 0.0000), Sb at (0.0048, 0.1717, 0.8283) and Sb at (0.0575, 0.7826, 0.6151).


4.
Co2NiSb8: relaxed, GGA-PBE.

As for the volume: 541 Å³ per cell. The calculation puts the energy at -4.744 eV per atom. Its energy relative to the elements, uncorrected is 0.0714 eV/atom. As for the relative energy among the computed polymorphs: 37 meV/atom.

The space group is C2/m (No. 12) and the conventional cell measures 13.982, 8.046 and 4.814 Å, with angles of 90.00, 90.63 and 90.00 degrees. The distinct sites, in fractional coordinates, are Co at (0.172, 0.000, 0.266), Ni at (0.000, 0.000, 0.500), Sb at (0.076, 0.262, 0.243), Sb at (0.152, 0.500, 0.704) and Sb at (0.161, 0.000, 0.767).


5.
Co2Ni2Sb: relaxed, GGA-PBE.

As for the volume: 138 Å³ per cell. The calculation puts the energy at -5.690 eV per atom. Its energy relative to the elements, uncorrected is 0.2894 eV/atom. As for the relative energy among the computed polymorphs: 64 meV/atom.

The space group is I4/mmm (No. 139) and the conventional cell measures 3.443, 3.443 and 11.625 Å, with angles of 90.00, 90.00 and 90.00 degrees. The distinct sites, in fractional coordinates, are Co at (0.000, 0.000, 0.105), Ni at (0.000, 0.500, 0.250) and Sb at (0.000, 0.000, 0.500).


6.
CoNi2Sb8: relaxed, GGA-PBE.

As for the volume: 266 Å³ per cell. The calculation puts the energy at -4.689 eV per atom. Its energy relative to the elements, uncorrected is 0.0064 eV/atom. As for the relative energy among the computed polymorphs: 0 meV/atom.

The space group is P-1 (No. 2) and the conventional cell measures 5.375, 6.774 and 7.728 Å, with angles of 108.91, 90.78 and 90.02 degrees. The distinct sites, in fractional coordinates, are Co at (0.000, 0.000, 0.000), Ni at (0.241, 0.636, 0.387), Sb at (0.244, 0.384, 0.580), Sb at (0.266, 0.859, 0.722), Sb at (0.290, 0.313, 0.107) and Sb at (0.290, 0.844, 0.176).


7.
CoNiSb6: relaxed, GGA-PBE.

As for the volume: 774 Å³ per cell. The calculation puts the energy at -4.865 eV per atom. Its energy relative to the elements, uncorrected is -0.1621 eV/atom.

The space group is C2/m (No. 12) and the conventional cell measures 12.952, 9.178 and 9.180 Å, with angles of 90.00, 134.84 and 90.00 degrees. The distinct sites, in fractional coordinates, are Co at (0.250, 0.250, 0.000), Ni at (0.250, 0.250, 0.500), Sb at (0.003, 0.160, 0.838), Sb at (0.160, 0.335, 0.663), Sb at (0.161, 0.500, 0.321) and Sb at (0.168, 0.500, 0.009).


8.
Co2NiSb8: relaxed, GGA-PBE.

As for the volume: 535 Å³ per cell. The calculation puts the energy at -4.781 eV per atom. Its energy relative to the elements, uncorrected is 0.0343 eV/atom. As for the relative energy among the computed polymorphs: 0 meV/atom.

The space group is C2/m (No. 12) and the conventional cell measures 12.417, 8.657 and 4.978 Å, with angles of 90.00, 92.25 and 90.00 degrees. The distinct sites, in fractional coordinates, are Co at (0.124, 0.000, 0.269), Ni at (0.000, 0.500, 0.500), Sb at (0.088, 0.000, 0.757), Sb at (0.090, 0.289, 0.208) and Sb at (0.178, 0.500, 0.794).


9.
CoNiSb2Te: relaxed, GGA-PBE.

As for the volume: 119 Å³ per cell. The calculation puts the energy at -4.187 eV per atom. Its energy relative to the elements, uncorrected is 0.6677 eV/atom. As for the relative energy among the computed polymorphs: 0 meV/atom.

The space group is P4/mmm (No. 123) and the conventional cell measures 4.756, 4.756 and 5.241 Å, with angles of 90.00, 90.00 and 90.00 degrees. The distinct sites, in fractional coordinates, are Co at (0.000, 0.000, 0.000), Ni at (0.500, 0.500, 0.500), Sb at (0.000, 0.500, 0.000) and Te at (0.000, 0.000, 0.500).


10.
CoNiSb2Te: relaxed, GGA-PBE.

As for the volume: 123 Å³ per cell. The calculation puts the energy at -4.099 eV per atom. Its energy relative to the elements, uncorrected is 0.7555 eV/atom. As for the relative energy among the computed polymorphs: 88 meV/atom.

The space group is P4/mmm (No. 123) and the conventional cell measures 4.867, 4.867 and 5.206 Å, with angles of 90.00, 90.00 and 90.00 degrees. The distinct sites, in fractional coordinates, are Co at (0.000, 0.000, 0.000), Ni at (0.500, 0.500, 0.500), Sb at (0.000, 0.500, 0.500) and Te at (0.500, 0.500, 0.000).


11.
Y2CoNiSb: relaxed, GGA-PBE.

As for the volume: 124 Å³ per cell. The calculation puts the energy at -5.876 eV per atom. Its energy relative to the elements, uncorrected is 0.1117 eV/atom.

The space group is P4/mmm (No. 123) and the conventional cell measures 5.179, 5.179 and 4.618 Å, with angles of 90.00, 90.00 and 90.00 degrees. The distinct sites, in fractional coordinates, are Y at (0.000, 0.500, 0.000), Co at (0.000, 0.000, 0.500), Ni at (0.500, 0.500, 0.000) and Sb at (0.500, 0.500, 0.500).


12.
ZrCoNiSb: relaxed, GGA-PBE.

As for the volume: 249 Å³ per cell. The calculation puts the energy at -6.746 eV per atom. Its energy relative to the elements, uncorrected is -0.3563 eV/atom.

The space group is F-43m (No. 216) and the conventional cell measures 6.290, 6.290 and 6.290 Å, with angles of 90.00, 90.00 and 90.00 degrees. The distinct sites, in fractional coordinates, are Zr at (0.000, 0.000, 0.000), Co at (0.250, 0.250, 0.750), Ni at (0.250, 0.250, 0.250) and Sb at (0.000, 0.000, 0.500).


The highest energy relative to the elements, uncorrected belongs to which entry?
number 10